(1)
VASP calculation (PBE) on an optimized crystal structure of Hf2Ti4N3.

Calculated values
DFT total energy = -83.8 eV for the cell shown
ΔE_f (raw) = -79 kJ/mol of atoms

Lattice parameters (Å, degrees): 3.002 3.002 15.875 90.00 90.00 120.00
Sites, in units of the cell vectors:
Hf  0.000  0.000  0.000
Hf  0.000  0.000  0.186
Ti  0.000  0.000  0.363
Ti  0.000  0.000  0.524
Ti  0.333  0.667  0.676
Ti  0.333  0.667  0.839
N  0.000  0.000  0.759
N  0.333  0.667  0.095
N  0.333  0.667  0.437

***

(2)
VASP calculation (PBE) on an optimized crystal structure of HfTi12N6.

Calculated values
DFT total energy = -166.8 eV for the cell shown
ΔE_f (raw) = -61 kJ/mol of atoms

Lattice parameters (Å, degrees): 6.442 6.442 6.442 104.34 104.34 104.34
Sites, in units of the cell vectors:
Hf  0.000  0.000  0.000
Ti  0.128  0.500  0.872
Ti  0.128  0.872  0.500
Ti  0.184  0.445  0.445
Ti  0.445  0.184  0.445
Ti  0.445  0.445  0.184
Ti  0.500  0.128  0.872
Ti  0.500  0.872  0.128
Ti  0.555  0.555  0.816
Ti  0.555  0.816  0.555
Ti  0.816  0.555  0.555
Ti  0.872  0.128  0.500
Ti  0.872  0.500  0.128
N  0.242  0.242  0.683
N  0.242  0.683  0.242
N  0.317  0.758  0.758
N  0.683  0.242  0.242
N  0.758  0.317  0.758
N  0.758  0.758  0.317

***

(3)
VASP calculation (PBE) on an optimized crystal structure of HfTiN3.

Calculated values
DFT total energy = -44.6 eV for the cell shown
ΔE_f (raw) = -34 kJ/mol of atoms

Lattice parameters (Å, degrees): 3.827 3.827 3.827 90.00 90.00 90.00
Sites, in units of the cell vectors:
Hf  0.000  0.000  0.000
Ti  0.500  0.500  0.500
N  0.000  0.500  0.500
N  0.500  0.000  0.500
N  0.500  0.500  0.000

***

(4)
VASP calculation (PBE) on an optimized crystal structure of HfTiN2.

Calculated values
DFT total energy = -122.7 eV for the cell shown
ΔE_f (raw) = -154 kJ/mol of atoms

Lattice parameters (Å, degrees): 3.084 3.084 15.945 90.00 90.00 120.00
Sites, in units of the cell vectors:
Hf  0.000  0.000  0.000
Hf  0.333  0.667  0.667
Hf  0.667  0.333  0.333
Ti  0.000  0.000  0.177
Ti  0.333  0.667  0.844
Ti  0.667  0.333  0.510
N  0.000  0.000  0.421
N  0.000  0.000  0.588
N  0.333  0.667  0.088
N  0.333  0.667  0.254
N  0.667  0.333  0.755
N  0.667  0.333  0.921

***

(5)
VASP calculation (PBE) on an optimized crystal structure of HfTi3N.

Calculated values
energy above the most stable polymorph in this dataset = 0.0 meV/atom
DFT total energy = -91.5 eV for the cell shown
ΔE_f (raw) = -73 kJ/mol of atoms

Lattice parameters (Å, degrees): 6.005 5.382 4.854 90.00 90.00 90.00
Sites, in units of the cell vectors:
Hf  0.000  0.155  0.000
Hf  0.500  0.845  0.500
Ti  0.000  0.819  0.490
Ti  0.248  0.642  0.001
Ti  0.252  0.358  0.501
Ti  0.500  0.181  0.990
Ti  0.748  0.358  0.501
Ti  0.752  0.642  0.001
N  0.000  0.494  0.251
N  0.500  0.506  0.751

***

(6)
VASP calculation (PBE) on an optimized crystal structure of HfTi2N.

Calculated values
DFT total energy = -113.1 eV for the cell shown
ΔE_f (raw) = -88 kJ/mol of atoms

Lattice parameters (Å, degrees): 3.027 3.027 22.500 90.00 90.00 120.00
Sites, in units of the cell vectors:
Hf  0.000  0.000  0.000
Hf  0.333  0.667  0.667
Hf  0.667  0.333  0.333
Ti  0.000  0.000  0.219
Ti  0.000  0.000  0.781
Ti  0.333  0.667  0.448
Ti  0.333  0.667  0.885
Ti  0.667  0.333  0.115
Ti  0.667  0.333  0.552
N  0.000  0.000  0.500
N  0.333  0.667  0.167
N  0.667  0.333  0.833

***

(7)
VASP calculation (PBE) on an optimized crystal structure of HfTi5N6.

Calculated values
DFT total energy = -120.0 eV for the cell shown
ΔE_f (raw) = -166 kJ/mol of atoms

Lattice parameters (Å, degrees): 5.286 5.286 5.271 99.55 99.55 120.15
Sites, in units of the cell vectors:
Hf  0.000  0.000  0.000
Ti  0.171  0.829  0.500
Ti  0.332  0.668  0.000
Ti  0.500  0.500  0.500
Ti  0.668  0.332  0.000
Ti  0.829  0.171  0.500
N  0.085  0.422  0.254
N  0.254  0.254  0.747
N  0.422  0.085  0.254
N  0.578  0.915  0.746
N  0.746  0.746  0.253
N  0.915  0.578  0.746

***

(8)
VASP calculation (PBE) on an optimized crystal structure of HfTiN2.

Calculated values
DFT total energy = -41.4 eV for the cell shown
ΔE_f (raw) = -165 kJ/mol of atoms

Lattice parameters (Å, degrees): 3.130 3.130 4.401 90.00 90.00 90.00
Sites, in units of the cell vectors:
Hf  0.000  0.000  0.000
Ti  0.500  0.500  0.500
N  0.000  0.000  0.500
N  0.500  0.500  0.000